Record 1
The following is a GGA-PBE calculation of an optimized crystal structure of TbTlNi, from the Alexandria database.

Cell lengths 7.8031, 4.5177, 8.2061 Å; angles 90.00, 108.55, 90.00 degrees
Element x y z (fractional)
Tb  0.2470  0.0000  0.2419
Tb  0.2530  0.5000  0.7581
Tb  0.7470  0.5000  0.2419
Tb  0.7530  0.0000  0.7581
Tl  0.0000  0.0000  0.5000
Tl  0.0000  0.5000  0.0000
Tl  0.5000  0.0000  0.0000
Tl  0.5000  0.5000  0.5000
Ni  0.1339  0.5000  0.4024
Ni  0.3661  0.0000  0.5976
Ni  0.6339  0.0000  0.4024
Ni  0.8661  0.5000  0.5976

total DFT energy (no corrections): -0.32996 Ry/atom



Record 2
The following is a GGA-PBE calculation of an optimized crystal structure of LaPPdO2, from the Alexandria database.

Cell lengths 4.2220, 4.2220, 4.5144 Å; angles 90.00, 90.00, 90.00 degrees
Element x y z (fractional)
La  0.0000  0.0000  0.0000
P  0.5000  0.5000  0.0000
Pd  0.5000  0.5000  0.5000
O  0.0000  0.5000  0.5000
O  0.5000  0.0000  0.5000

formation energy without anion corrections: -943 meV per atom
total DFT energy (no corrections): -0.44334 Ry/atom



Record 3
The following is a GGA-PBE calculation of an optimized crystal structure of KLiNi3, from the Alexandria database.

Cell lengths 4.6398, 4.6398, 4.6398 Å; angles 90.00, 90.00, 90.00 degrees
Element x y z (fractional)
K  0.0000  0.0000  0.0000
Li  0.5000  0.5000  0.5000
Ni  0.0000  0.0000  0.5000
Ni  0.0000  0.5000  0.0000
Ni  0.5000  0.0000  0.0000

total DFT energy (no corrections): -0.16178 Ry/atom



Record 4
The following is a GGA-PBE calculation of an optimized crystal structure of LiCeUSe3, from the Alexandria database.

Cell lengths 8.5749, 3.9823, 8.8838 Å; angles 90.00, 105.15, 90.00 degrees
Element x y z (fractional)
Li  0.0877  0.2500  0.0877
Li  0.9123  0.7500  0.9123
Ce  0.1808  0.2500  0.7261
Ce  0.8192  0.7500  0.2739
U  0.3443  0.7500  0.3532
U  0.6557  0.2500  0.6468
Se  0.0987  0.2500  0.3710
Se  0.2197  0.7500  0.0049
Se  0.4284  0.7500  0.6927
Se  0.5716  0.2500  0.3073
Se  0.7803  0.2500  0.9951
Se  0.9013  0.7500  0.6290

formation energy without anion corrections: -1337 meV per atom
total DFT energy (no corrections): -0.46070 Ry/atom



Record 5
The following is a GGA-PBE calculation of an optimized crystal structure of Ag2WAu, from the Alexandria database.

Cell lengths 4.2779, 4.2779, 7.5044 Å; angles 90.00, 90.00, 90.00 degrees
Element x y z (fractional)
Ag  0.0000  0.0000  0.0000
Ag  0.0000  0.5000  0.2500
Ag  0.5000  0.0000  0.7500
Ag  0.5000  0.5000  0.5000
W  0.0000  0.0000  0.5000
W  0.5000  0.5000  0.0000
Au  0.0000  0.5000  0.7500
Au  0.5000  0.0000  0.2500

total DFT energy (no corrections): -0.35208 Ry/atom



Record 6
The following is a GGA-PBE calculation of an optimized crystal structure of Pm6C2Se3N, from the Alexandria database.

Cell lengths 8.9820, 8.9820, 8.1015 Å; angles 106.70, 106.70, 24.87 degrees
Element x y z (fractional)
Pm  0.0106  0.0106  0.2246
Pm  0.3243  0.3243  0.4412
Pm  0.3431  0.3431  0.8929
Pm  0.6569  0.6569  0.1071
Pm  0.6757  0.6757  0.5588
Pm  0.9894  0.9894  0.7754
C  0.1637  0.1637  0.3283
C  0.8363  0.8363  0.6717
Se  0.1665  0.1665  0.8332
Se  0.5000  0.5000  0.5000
Se  0.8335  0.8335  0.1668
N  0.5000  0.5000  0.0000

formation energy without anion corrections: -1258 meV per atom
total DFT energy (no corrections): -0.49502 Ry/atom